MgAl2Cd: relaxed, PBE.

Lattice parameters (Å, degrees): 4.167 4.167 4.460 90.00 90.00 90.00
Atoms (fractional coordinates):
Mg 0.000 0.000 0.000
Al 0.000 0.500 0.500
Al 0.500 0.000 0.500
Cd 0.500 0.500 0.000

## Properties
The calculation puts the calculated volume at 77.4 Å³/f.u. As for the total energy: -9.8 eV for the cell shown.